No. 1
# SrCoSbRh2 GGA-PBE relaxed
# **DFT total energy**: -3.59 eV/atom
# **Density of states at the Fermi level**: 1.1800 states/eV per atom
# **Size of the total moment**: 3.13 Bohr magnetons per cell
# **V**: 28.083 Å³ per atom
data_SrCoSbRh2
_cell_length_a 4.873
_cell_length_b 4.873
_cell_length_c 5.914
_cell_angle_alpha 90.00
_cell_angle_beta 90.00
_cell_angle_gamma 90.00
_symmetry_space_group_name_H-M 'P 4/m m m'
_symmetry_Int_Tables_number 123
_symmetry_space_group_name_Hall '-P 4 2'
loop_
_atom_site_label
_atom_site_fract_x
_atom_site_fract_y
_atom_site_fract_z
_atom_site_occupancy
Sr1 0.000 0.000 0.000 1
Co1 0.500 0.500 0.500 1
Sb1 0.000 0.000 0.500 1
Rh1 0.000 0.500 0.000 1


No. 2
# TmCoSbRh GGA-PBE relaxed
# **DFT total energy**: -6.28 eV/atom
# **Density of states at the Fermi level**: 0.6613 states/eV per atom
# **Size of the total moment**: 7.12 Bohr magnetons per cell
# **V**: 17.349 Å³ per atom
data_TmCoSbRh
_cell_length_a 6.523
_cell_length_b 6.523
_cell_length_c 6.523
_cell_angle_alpha 90.00
_cell_angle_beta 90.00
_cell_angle_gamma 90.00
_symmetry_space_group_name_H-M 'F -4 3 m'
_symmetry_Int_Tables_number 216
_symmetry_space_group_name_Hall 'F -4 2 3'
loop_
_atom_site_label
_atom_site_fract_x
_atom_site_fract_y
_atom_site_fract_z
_atom_site_occupancy
Tm1 0.000 0.000 0.000 1
Co1 0.250 0.250 0.750 1
Sb1 0.000 0.000 0.500 1
Rh1 0.250 0.250 0.250 1


No. 3
# Sc2CoRh GGA-PBE relaxed
# **DFT total energy**: -7.16 eV/atom
# **Formation enthalpy at 0 K**: -0.38 eV per atom
# **Density of states at the Fermi level**: 0.3318 states/eV per atom
# **Size of the total moment**: 0.00 Bohr magnetons per cell
# **V**: 16.806 Å³ per atom
data_Sc2CoRh
_cell_length_a 3.029
_cell_length_b 4.188
_cell_length_c 5.299
_cell_angle_alpha 90.00
_cell_angle_beta 90.00
_cell_angle_gamma 90.00
_symmetry_space_group_name_H-M 'P m m 2'
_symmetry_Int_Tables_number 25
loop_
_symmetry_equiv_pos_as_xyz
'x,y,z'
'-x,-y,z'
'-x,y,z'
'x,-y,z'
loop_
_atom_site_label
_atom_site_fract_x
_atom_site_fract_y
_atom_site_fract_z
_atom_site_occupancy
Sc1 0.000 0.000 0.000 1
Sc2 0.500 0.500 0.365 1
Co1 0.000 0.000 0.502 1
Rh1 0.500 0.500 0.850 1


No. 4
# Sc2CoRh GGA-PBE relaxed
# **DFT total energy**: -7.46 eV/atom
# **Formation enthalpy at 0 K**: -0.68 eV per atom
# **Density of states at the Fermi level**: 0.3417 states/eV per atom
# **Size of the total moment**: 0.00 Bohr magnetons per cell
# **V**: 16.050 Å³ per atom
data_Sc2CoRh
_cell_length_a 6.356
_cell_length_b 6.356
_cell_length_c 6.356
_cell_angle_alpha 90.00
_cell_angle_beta 90.00
_cell_angle_gamma 90.00
_symmetry_space_group_name_H-M 'F m -3 m'
_symmetry_Int_Tables_number 225
_symmetry_space_group_name_Hall '-F 4 2 3'
loop_
_atom_site_label
_atom_site_fract_x
_atom_site_fract_y
_atom_site_fract_z
_atom_site_occupancy
Sc1 0.250 0.250 0.250 1
Co1 0.000 0.000 0.000 1
Rh1 0.000 0.000 0.500 1


No. 5
# Sc2CoRh GGA-PBE relaxed
# **DFT total energy**: -7.47 eV/atom
# **Formation enthalpy at 0 K**: -0.69 eV per atom
# **Density of states at the Fermi level**: 0.3593 states/eV per atom
# **Size of the total moment**: 0.42 Bohr magnetons per cell
# **V**: 16.053 Å³ per atom
data_Sc2CoRh
_cell_length_a 3.160
_cell_length_b 3.160
_cell_length_c 6.429
_cell_angle_alpha 90.00
_cell_angle_beta 90.00
_cell_angle_gamma 90.00
_symmetry_space_group_name_H-M 'P 4/m m m'
_symmetry_Int_Tables_number 123
_symmetry_space_group_name_Hall '-P 4 2'
loop_
_atom_site_label
_atom_site_fract_x
_atom_site_fract_y
_atom_site_fract_z
_atom_site_occupancy
Sc1 0.000 0.000 0.240 1
Co1 0.500 0.500 0.000 1
Rh1 0.500 0.500 0.500 1


No. 6
# ScCo2Rh2 GGA-PBE relaxed
# **DFT total energy**: -7.23 eV/atom
# **Formation enthalpy at 0 K**: -0.18 eV per atom
# **Density of states at the Fermi level**: 1.2581 states/eV per atom
# **Relative energy among the computed polymorphs**: 0.0000 eV/atom
# **Size of the total moment**: 7.55 Bohr magnetons per cell
# **V**: 14.262 Å³ per atom
data_ScCo2Rh2
_cell_length_a 7.113
_cell_length_b 7.113
_cell_length_c 2.819
_cell_angle_alpha 90.00
_cell_angle_beta 90.00
_cell_angle_gamma 90.00
_symmetry_space_group_name_H-M 'P 4/m b m'
_symmetry_Int_Tables_number 127
_symmetry_space_group_name_Hall '-P 4 2ab'
loop_
_atom_site_label
_atom_site_fract_x
_atom_site_fract_y
_atom_site_fract_z
_atom_site_occupancy
Sc1 0.000 0.000 0.000 1
Co1 0.118 0.382 0.000 1
Rh1 0.177 0.677 0.500 1


No. 7
# Sc4CoRh GGA-PBE relaxed
# **DFT total energy**: -7.10 eV/atom
# **Formation enthalpy at 0 K**: -0.47 eV per atom
# **Density of states at the Fermi level**: 1.1566 states/eV per atom
# **Relative energy among the computed polymorphs**: 0.0000 eV/atom
# **Size of the total moment**: 0.01 Bohr magnetons per cell
# **V**: 19.703 Å³ per atom
data_Sc4CoRh
_cell_length_a 8.217
_cell_length_b 12.041
_cell_length_c 5.617
_cell_angle_alpha 90.00
_cell_angle_beta 121.69
_cell_angle_gamma 90.00
_symmetry_space_group_name_H-M 'C 1 2/c 1'
_symmetry_Int_Tables_number 15
loop_
_symmetry_equiv_pos_as_xyz
'x,y,z'
'-x,-y,-z'
'-x,y,-z+1/2'
'x,-y,z+1/2'
'x+1/2,y+1/2,z'
'-x+1/2,-y+1/2,-z'
'-x+1/2,y+1/2,-z+1/2'
'x+1/2,-y+1/2,z+1/2'
loop_
_atom_site_label
_atom_site_fract_x
_atom_site_fract_y
_atom_site_fract_z
_atom_site_occupancy
Sc1 0.125 0.177 0.095 1
Sc2 0.202 0.436 0.286 1
Co1 0.000 0.000 0.250 1
Rh1 0.000 0.361 0.750 1


No. 8
# Sc2CoRh GGA-PBE relaxed
# **DFT total energy**: -7.01 eV/atom
# **Formation enthalpy at 0 K**: -0.23 eV per atom
# **Density of states at the Fermi level**: 1.5150 states/eV per atom
# **Size of the total moment**: 4.27 Bohr magnetons per cell
# **V**: 15.981 Å³ per atom
data_Sc2CoRh
_cell_length_a 6.347
_cell_length_b 6.347
_cell_length_c 6.347
_cell_angle_alpha 90.00
_cell_angle_beta 90.00
_cell_angle_gamma 90.00
_symmetry_space_group_name_H-M 'F -4 3 m'
_symmetry_Int_Tables_number 216
_symmetry_space_group_name_Hall 'F -4 2 3'
loop_
_atom_site_label
_atom_site_fract_x
_atom_site_fract_y
_atom_site_fract_z
_atom_site_occupancy
Sc1 0.000 0.000 0.000 1
Sc2 0.250 0.250 0.250 1
Co1 0.000 0.000 0.500 1
Rh1 0.250 0.250 0.750 1


No. 9
# ScCoRh GGA-PBE relaxed
# **DFT total energy**: -7.05 eV/atom
# **Formation enthalpy at 0 K**: -0.12 eV per atom
# **Density of states at the Fermi level**: 1.2643 states/eV per atom
# **Relative energy among the computed polymorphs**: 0.2214 eV/atom
# **Size of the total moment**: 6.25 Bohr magnetons per cell
# **V**: 16.894 Å³ per atom
data_ScCoRh
_cell_length_a 5.875
_cell_length_b 5.875
_cell_length_c 5.875
_cell_angle_alpha 90.00
_cell_angle_beta 90.00
_cell_angle_gamma 90.00
_symmetry_space_group_name_H-M 'F -4 3 m'
_symmetry_Int_Tables_number 216
_symmetry_space_group_name_Hall 'F -4 2 3'
loop_
_atom_site_label
_atom_site_fract_x
_atom_site_fract_y
_atom_site_fract_z
_atom_site_occupancy
Sc1 0.000 0.000 0.000 1
Co1 0.250 0.250 0.250 1
Rh1 0.000 0.000 0.500 1


No. 10
# Sc6CoRh2 GGA-PBE relaxed
# **DFT total energy**: -7.14 eV/atom
# **Formation enthalpy at 0 K**: -0.49 eV per atom
# **Density of states at the Fermi level**: 1.0233 states/eV per atom
# **Size of the total moment**: 4.80 Bohr magnetons per cell
# **V**: 19.793 Å³ per atom
data_Sc6CoRh2
_cell_length_a 4.515
_cell_length_b 11.671
_cell_length_c 13.522
_cell_angle_alpha 90.00
_cell_angle_beta 90.00
_cell_angle_gamma 90.00
_symmetry_space_group_name_H-M 'F m m m'
_symmetry_Int_Tables_number 69
_symmetry_space_group_name_Hall '-F 2 2'
loop_
_atom_site_label
_atom_site_fract_x
_atom_site_fract_y
_atom_site_fract_z
_atom_site_occupancy
Sc1 0.000 0.134 0.000 1
Sc2 0.000 0.135 0.337 1
Co1 0.000 0.000 0.500 1
Rh1 0.000 0.000 0.168 1


No. 11
# Sc2CoRh GGA-PBE relaxed
# **DFT total energy**: -6.45 eV/atom
# **Formation enthalpy at 0 K**: 0.33 eV per atom
# **Density of states at the Fermi level**: 1.1638 states/eV per atom
# **Size of the total moment**: 1.46 Bohr magnetons per cell
# **V**: 17.228 Å³ per atom
data_Sc2CoRh
_cell_length_a 2.915
_cell_length_b 4.938
_cell_length_c 9.574
_cell_angle_alpha 90.00
_cell_angle_beta 90.00
_cell_angle_gamma 90.00
_symmetry_space_group_name_H-M 'I m m m'
_symmetry_Int_Tables_number 71
_symmetry_space_group_name_Hall '-I 2 2'
loop_
_atom_site_label
_atom_site_fract_x
_atom_site_fract_y
_atom_site_fract_z
_atom_site_occupancy
Sc1 0.000 0.000 0.241 1
Co1 0.000 0.000 0.000 1
Rh1 0.000 0.000 0.500 1


No. 12
# Sc2CoRh GGA-PBE relaxed
# **DFT total energy**: -6.76 eV/atom
# **Formation enthalpy at 0 K**: 0.02 eV per atom
# **Density of states at the Fermi level**: 0.7000 states/eV per atom
# **Size of the total moment**: 2.26 Bohr magnetons per cell
# **V**: 17.693 Å³ per atom
data_Sc2CoRh
_cell_length_a 3.0746
_cell_length_b 3.0746
_cell_length_c 25.9349
_cell_angle_alpha 90.00
_cell_angle_beta 90.00
_cell_angle_gamma 120.00
_symmetry_space_group_name_H-M 'R -3 m'
_symmetry_Int_Tables_number 166
_symmetry_space_group_name_Hall '-R 3 2"'
loop_
_atom_site_label
_atom_site_fract_x
_atom_site_fract_y
_atom_site_fract_z
_atom_site_occupancy
Sc1 0.0000 0.0000 0.0887 1
Co1 0.0000 0.0000 0.0000 1
Rh1 0.0000 0.0000 0.5000 1


No. 13
# Sc5Co2Rh GGA-PBE relaxed
# **DFT total energy**: -7.12 eV/atom
# **Formation enthalpy at 0 K**: -0.47 eV per atom
# **Density of states at the Fermi level**: 0.8931 states/eV per atom
# **Size of the total moment**: 0.00 Bohr magnetons per cell
# **V**: 18.479 Å³ per atom
data_Sc5Co2Rh
_cell_length_a 6.672
_cell_length_b 6.672
_cell_length_c 13.286
_cell_angle_alpha 90.00
_cell_angle_beta 90.00
_cell_angle_gamma 90.00
_symmetry_space_group_name_H-M 'I 4/m c m'
_symmetry_Int_Tables_number 140
_symmetry_space_group_name_Hall '-I 4 2c'
loop_
_atom_site_label
_atom_site_fract_x
_atom_site_fract_y
_atom_site_fract_z
_atom_site_occupancy
Sc1 0.000 0.000 0.000 1
Sc2 0.177 0.323 0.142 1
Co1 0.119 0.381 0.500 1
Rh1 0.000 0.000 0.250 1


No. 14
# ScCoRh GGA-PBE relaxed
# **DFT total energy**: -7.27 eV/atom
# **Formation enthalpy at 0 K**: -0.34 eV per atom
# **Density of states at the Fermi level**: 0.7989 states/eV per atom
# **Relative energy among the computed polymorphs**: 0.0000 eV/atom
# **Size of the total moment**: 0.88 Bohr magnetons per cell
# **V**: 15.605 Å³ per atom
data_ScCoRh
_cell_length_a 4.1637
_cell_length_b 4.1637
_cell_length_c 3.1182
_cell_angle_alpha 90.00
_cell_angle_beta 90.00
_cell_angle_gamma 120.00
_symmetry_space_group_name_H-M 'P -6 m 2'
_symmetry_Int_Tables_number 187
_symmetry_space_group_name_Hall 'P -6 2'
loop_
_atom_site_label
_atom_site_fract_x
_atom_site_fract_y
_atom_site_fract_z
_atom_site_occupancy
Sc1 0.0000 0.0000 0.0000 1
Co1 0.3333 0.6667 0.5000 1
Rh1 0.6667 0.3333 0.5000 1